[1]
This record from the Alexandria database describes CaYRh2 after structural relaxation. The functional is PBE.

Results
Relative energy among the computed polymorphs ... 20.01 kJ/mol of atoms
Formation enthalpy at 0 K ... -0.4175 eV per atom
Space-group type ... Cm

Cell and atoms, written as POSCAR:
```
CaYRh2
1.0
5.561 -0.006 -0.035
4.598 3.129 -0.035
1.150 0.353 4.681
Rh Y Ca
2 1 1
direct
0.984 0.984 0.949
0.262 0.262 0.304
0.518 0.518 0.431
0.736 0.736 0.816
```


[2]
This record from the Alexandria database describes Sr2NdSmS4 after structural relaxation. The functional is PBE.

Results
Formation energy without anion corrections ... -2.05 eV per atom
Space-group type ... P2/m

Cell and atoms, written as POSCAR:
```
Sr2NdSmS4
1.0
4.114 0.000 0.000
0.000 7.115 0.120
0.000 -2.492 6.841
S Sm Sr Nd
4 1 2 1
direct
0.500 0.244 0.238
0.000 0.251 0.761
0.000 0.749 0.239
0.500 0.756 0.762
0.000 0.000 0.000
0.000 0.500 0.500
0.500 0.000 0.500
0.500 0.500 0.000
```


[3]
This record from the Alexandria database describes TbSmGa4 after structural relaxation. The functional is PBE.

Results
Relative energy among the computed polymorphs ... 9.26 kJ/mol of atoms
Formation enthalpy at 0 K ... -0.5639 eV per atom
Space-group type ... F-43m

Cell and atoms, written as POSCAR:
```
TbSmGa4
1.0
5.556 0.000 0.000
2.778 4.811 0.000
2.778 1.604 4.536
Ga Sm Tb
4 1 1
direct
0.625 0.125 0.625
0.125 0.625 0.625
0.625 0.625 0.125
0.625 0.625 0.625
0.250 0.250 0.250
0.000 0.000 0.000
```


Number 1: volume 20.4 Å³/atom, energy -6.210 eV per atom. Number 2: volume 25.2 Å³/atom, energy -5.720 eV per atom. Number 3: volume 20.2 Å³/atom, energy -4.140 eV per atom.